Here is a geometry-optimized La2Al5Zn2 structure from Alexandria. Energies are from PBE.

```
La2Al5Zn2
1.0
4.331 0.000 0.000
0.000 4.331 0.000
0.000 0.000 10.145
La Al Zn
2 5 2
direct
0.000 0.000 0.000
0.000 0.000 0.500
0.500 0.000 0.270
0.500 0.000 0.730
0.000 0.500 0.270
0.000 0.500 0.730
0.500 0.500 0.500
0.500 0.500 0.120
0.500 0.500 0.880
```

Summary:
Density (kg/m3): 4742
Density of states at the Fermi level (states/eV/atom): 0.684
ΔH_f (0 K) (eV/atom): -0.329


Here is a geometry-optimized LaAlZn structure from Alexandria. Energies are from PBE.

```
LaAlZn
1.0
4.270 -0.006 0.003
0.135 5.864 0.000
-2.124 0.663 5.734
Zn Al La
2 2 2
direct
0.573 0.328 0.026
0.200 0.318 0.282
0.998 0.625 0.900
0.367 0.612 0.634
0.661 0.812 0.238
0.905 0.145 0.680
```

Summary:
Density (kg/m3): 5349
Density of states at the Fermi level (states/eV/atom): 0.831
ΔH_f (0 K) (eV/atom): -0.319


Here is a geometry-optimized La2AlZn structure from Alexandria. Energies are from PBE.

```
La2AlZn
1.0
-6.857 2.100 -4.623
-0.469 -7.998 -2.938
-5.511 -3.719 -1.389
Zn Al La
2 2 4
direct
0.000 0.000 0.000
0.750 0.250 0.500
0.500 0.500 0.000
0.250 0.750 0.500
0.651 0.125 0.250
0.099 0.625 0.250
0.375 0.349 0.750
0.875 0.901 0.750
```

Summary:
Density (kg/m3): 5414
Density of states at the Fermi level (states/eV/atom): 1.318
ΔH_f (0 K) (eV/atom): 0.054


Here is a geometry-optimized LaAlZn3 structure from Alexandria. Energies are from PBE.

```
LaAlZn3
1.0
5.707 0.000 0.000
0.000 5.707 0.000
0.000 0.000 5.707
Zn Al La
3 1 1
direct
0.000 0.500 0.000
0.000 0.000 0.500
0.500 0.000 0.000
0.500 0.500 0.500
0.000 0.000 0.000
```

Summary:
Density (kg/m3): 3235
Density of states at the Fermi level (states/eV/atom): 2.061
Polymorph energy (0 for the lowest one) (meV per atom): 1437
ΔH_f (0 K) (eV/atom): 1.063


Q: What is the density of states at the Fermi level in the first record?
A: 0.684 states/eV/atom